The following is a DFT calculation (PBE) of a relaxed structure of Ba2Zn4CuPt3.

Cell lengths 4.5465, 4.5465, 10.3560 Å; angles 90.00, 90.00, 90.00 degrees
Space group P-4m2 (No. 115)
One atom of each set of equivalent atoms:
Ba 0.0000 0.5000 0.2459 (multiplicity 2)
Zn 0.0000 0.0000 0.5000 (multiplicity 1)
Zn 0.0000 0.5000 0.8823 (multiplicity 2)
Zn 0.5000 0.5000 0.5000 (multiplicity 1)
Cu 0.5000 0.5000 0.0000 (multiplicity 1)
Pt 0.0000 0.0000 0.0000 (multiplicity 1)
Pt 0.0000 0.5000 0.6278 (multiplicity 2)

=====

The following is a DFT calculation (PBE) of a relaxed structure of YZn2Br.

Output
Offset from the most stable computed form   75 meV per atom

Cell lengths 10.1368, 3.7279, 5.2325 Å; angles 90.00, 110.00, 90.00 degrees
Space group Cm (No. 8)
One atom of each set of equivalent atoms:
Y 0.0000 0.0000 0.0000 (multiplicity 2)
Zn 0.0006 0.5000 0.5396 (multiplicity 2)
Zn 0.2585 0.5000 0.4300 (multiplicity 2)
Br 0.2749 0.0000 0.9634 (multiplicity 2)

=====

| no. | DFT total energy (eV/cell) | calculated volume (Å³/cell) |
| --- | --- | --- |
| 1 | -36.310 | 214 |
| 2 | -24.462 | 186 |